Entry 1:
An optimized crystal structure of Ni3HgGe, computed with PBE.

Results
The calculation puts the energy relative to the lowest polymorph listed for this composition at 0.8716 eV per atom. For the total energy, the calculation gives -3.127 eV/atom. The value obtained for the energy of formation from the pure elements is 1.33 eV/atom.

abc: 4.722 4.722 4.722
angles: 90.00 90.00 90.00
Site moments in Bohr magnetons follow the coordinates.
Sites, in units of the cell vectors:
Ni 0.500 0.000 0.000  0.29
Hg 0.000 0.000 0.000  -0.01
Ni 0.000 0.000 0.500  0.27
Ge 0.500 0.500 0.500  -0.02
Ni 0.000 0.500 0.000  0.37


Entry 2:
An optimized crystal structure of NiHgGe3, computed with PBE.

Results
The calculation puts the energy relative to the lowest polymorph listed for this composition at 0.0000 eV per atom. For the total energy, the calculation gives -3.786 eV/atom. The value obtained for the energy of formation from the pure elements is 0.20 eV/atom.

abc: 4.676 4.676 4.676
angles: 90.00 90.00 90.00
Sites, in units of the cell vectors:
Hg 0.500 0.500 0.500
Ge 0.000 0.000 0.500
Ge 0.000 0.500 0.000
Ge 0.500 0.000 0.000
Ni 0.000 0.000 0.000


Entry 3:
An optimized crystal structure of Ni3HgGe, computed with PBE.

Results
The calculation puts the energy relative to the lowest polymorph listed for this composition at 0.0000 eV per atom. For the total energy, the calculation gives -3.999 eV/atom. The value obtained for the energy of formation from the pure elements is 0.45 eV/atom.

abc: 4.360 4.360 4.360
angles: 90.00 90.00 90.00
Sites, in units of the cell vectors:
Ge 0.000 0.000 0.000
Hg 0.500 0.500 0.500
Ni 0.500 0.000 0.000
Ni 0.000 0.000 0.500
Ni 0.000 0.500 0.000


Entry 4:
An optimized crystal structure of NiHgGe3, computed with PBE.

Results
The calculation puts the energy relative to the lowest polymorph listed for this composition at 1.1296 eV per atom. For the total energy, the calculation gives -2.656 eV/atom. The value obtained for the energy of formation from the pure elements is 1.33 eV/atom.

abc: 5.145 5.145 5.145
angles: 90.00 90.00 90.00
Sites, in units of the cell vectors:
Ge 0.500 0.000 0.000
Ni 0.500 0.500 0.500
Ge 0.000 0.500 0.000
Ge 0.000 0.000 0.500
Hg 0.000 0.000 0.000


Entry 5:
An optimized crystal structure of NiHg2Ge2, computed with PBE.

Results
For the total energy, the calculation gives -2.990 eV/atom. The value obtained for the energy of formation from the pure elements is 0.13 eV/atom.

abc: 6.190 6.190 5.574
angles: 90.00 90.00 90.00
Sites, in units of the cell vectors:
Hg 0.198 0.302 0.500
Hg 0.698 0.198 0.500
Ge 0.849 0.651 0.000
Ni 0.000 0.000 0.000
Hg 0.802 0.698 0.500
Ge 0.651 0.151 0.000
Ni 0.500 0.500 0.000
Ge 0.349 0.849 0.000
Hg 0.302 0.802 0.500
Ge 0.151 0.349 0.000


Entry 6:
An optimized crystal structure of NiHgGe, computed with PBE.

Results
The calculation puts the energy relative to the lowest polymorph listed for this composition at 0.0341 eV per atom. For the total energy, the calculation gives -3.585 eV/atom. The value obtained for the energy of formation from the pure elements is -0.02 eV/atom.

abc: 7.883 4.052 7.042
angles: 90.00 107.31 90.00
Sites, in units of the cell vectors:
Ge 0.992 0.000 0.852
Hg 0.706 0.000 0.090
Ni 0.098 0.000 0.220
Hg 0.473 0.500 0.846
Ge 0.992 0.500 0.352
Ni 0.098 0.500 0.720
Ge 0.247 0.500 0.102
Ge 0.247 0.000 0.602
Hg 0.706 0.500 0.590
Hg 0.473 0.000 0.346
Ni 0.919 0.500 0.994
Ni 0.919 0.000 0.494


Entry 7:
An optimized crystal structure of NiHgGe, computed with PBE.

Results
The calculation puts the energy relative to the lowest polymorph listed for this composition at 0.0362 eV per atom. For the total energy, the calculation gives -3.583 eV/atom. The value obtained for the energy of formation from the pure elements is -0.02 eV/atom.

abc: 2.945 4.064 9.004
angles: 90.00 90.16 90.00
Sites, in units of the cell vectors:
Hg 0.505 0.750 0.380
Ni 0.999 0.250 0.901
Ni 0.001 0.750 0.099
Ge 0.502 0.250 0.129
Hg 0.495 0.250 0.620
Ge 0.498 0.750 0.871


Entry 8:
An optimized crystal structure of NiHg3Ge, computed with PBE.

Results
The calculation puts the energy relative to the lowest polymorph listed for this composition at 0.0000 eV per atom. For the total energy, the calculation gives -1.823 eV/atom. The value obtained for the energy of formation from the pure elements is 0.44 eV/atom.

abc: 4.967 4.967 4.967
angles: 90.00 90.00 90.00
Sites, in units of the cell vectors:
Hg 0.500 0.000 0.000
Ni 0.000 0.000 0.000
Hg 0.000 0.500 0.000
Hg 0.000 0.000 0.500
Ge 0.500 0.500 0.500


Entry 9:
An optimized crystal structure of Ni2HgGeOs, computed with PBE.

Results
For the total energy, the calculation gives -4.173 eV/atom. The value obtained for the energy of formation from the pure elements is 1.37 eV/atom.

abc: 4.278 4.957 4.278
angles: 90.00 90.00 90.00
Site moments in Bohr magnetons follow the coordinates.
Sites, in units of the cell vectors:
Ge 0.000 0.000 0.000  0.01
Os 0.500 0.500 0.500  1.88
Ni 0.500 0.000 0.000  0.08
Hg 0.000 0.500 0.000  -0.03
Ni 0.000 0.000 0.500  0.09


Entry 10:
An optimized crystal structure of RbNiHg2Ge, computed with PBE.

Results
For the total energy, the calculation gives -2.445 eV/atom. The value obtained for the energy of formation from the pure elements is -0.05 eV/atom.

abc: 5.277 5.277 4.633
angles: 90.00 90.00 90.00
Sites, in units of the cell vectors:
Ge 0.000 0.000 0.500
Hg 0.500 0.000 0.000
Hg 0.000 0.500 0.000
Rb 0.500 0.500 0.500
Ni 0.000 0.000 0.000